# 1
# Ac2SmCd3In4 | the Alexandria database | PBE-GGA | optimized geometry
# Total energy in eV/atom: -2.994
# DOS at the Fermi energy in states/eV/f.u.: 6.49
data_Ac2SmCd3In4
_chemical_formula_sum 'Ac2 Sm1 Cd3 In4'
_cell_length_a 4.807
_cell_length_b 4.807
_cell_length_c 12.791
_cell_angle_alpha 90.00
_cell_angle_beta 90.00
_cell_angle_gamma 90.00
_space_group_name_H-M_alt 'P 1'
_space_group_IT_number 1
loop_
_space_group_symop_operation_xyz
'x,y,z'
loop_
_atom_site_label
_atom_site_type_symbol
_atom_site_fract_x
_atom_site_fract_y
_atom_site_fract_z
Ac1 Ac 0.000 0.500 0.236
Ac2 Ac 0.500 0.000 0.764
Sm1 Sm 0.000 0.000 0.500
Cd1 Cd 0.000 0.500 0.868
Cd2 Cd 0.500 0.000 0.132
Cd3 Cd 0.500 0.500 0.500
In1 In 0.000 0.000 0.000
In2 In 0.000 0.500 0.651
In3 In 0.500 0.000 0.349
In4 In 0.500 0.500 0.000

---

# 2
# Al2InAs | the Alexandria database | PBE-GGA | optimized geometry
# Total energy in eV/atom: -3.576
# DOS at the Fermi energy in states/eV/f.u.: 1.70
data_Al2InAs
_chemical_formula_sum 'Al2 In1 As1'
_cell_length_a 9.893
_cell_length_b 9.893
_cell_length_c 9.893
_cell_angle_alpha 18.33
_cell_angle_beta 18.33
_cell_angle_gamma 18.33
_space_group_name_H-M_alt 'P 1'
_space_group_IT_number 1
loop_
_space_group_symop_operation_xyz
'x,y,z'
loop_
_atom_site_label
_atom_site_type_symbol
_atom_site_fract_x
_atom_site_fract_y
_atom_site_fract_z
Al1 Al 0.000 0.000 0.000
Al2 Al 0.261 0.261 0.261
In1 In 0.508 0.508 0.508
As1 As 0.732 0.732 0.732

---

# 3
# Ca2CdCo | the Alexandria database | PBE-GGA | optimized geometry
# Total energy in eV/atom: -2.944
# DOS at the Fermi energy in states/eV/f.u.: 3.15
data_Ca2CdCo
_chemical_formula_sum 'Ca2 Cd1 Co1'
_cell_length_a 4.248
_cell_length_b 4.440
_cell_length_c 5.947
_cell_angle_alpha 90.00
_cell_angle_beta 110.84
_cell_angle_gamma 90.00
_space_group_name_H-M_alt 'P 1'
_space_group_IT_number 1
loop_
_space_group_symop_operation_xyz
'x,y,z'
loop_
_atom_site_label
_atom_site_type_symbol
_atom_site_fract_x
_atom_site_fract_y
_atom_site_fract_z
Ca1 Ca 0.000 0.000 0.000
Ca2 Ca 0.289 0.500 0.579
Cd1 Cd 0.583 0.500 0.166
Co1 Co 0.709 0.000 0.417

---

# 4
# KRb2Hg7Pd2 | the Alexandria database | PBE-GGA | optimized geometry
# Total energy in eV/atom: -1.530
# DOS at the Fermi energy in states/eV/f.u.: 3.52
data_KRb2Hg7Pd2
_chemical_formula_sum 'K1 Rb2 Hg7 Pd2'
_cell_length_a 5.401
_cell_length_b 5.401
_cell_length_c 14.827
_cell_angle_alpha 100.51
_cell_angle_beta 100.51
_cell_angle_gamma 89.76
_space_group_name_H-M_alt 'P 1'
_space_group_IT_number 1
loop_
_space_group_symop_operation_xyz
'x,y,z'
loop_
_atom_site_label
_atom_site_type_symbol
_atom_site_fract_x
_atom_site_fract_y
_atom_site_fract_z
K1 K 0.000 0.000 0.000
Rb1 Rb 0.183 0.183 0.363
Rb2 Rb 0.817 0.817 0.637
Hg1 Hg 0.095 0.594 0.185
Hg2 Hg 0.305 0.305 0.617
Hg3 Hg 0.406 0.905 0.815
Hg4 Hg 0.500 0.500 0.000
Hg5 Hg 0.594 0.095 0.185
Hg6 Hg 0.695 0.695 0.383
Hg7 Hg 0.905 0.406 0.815
Pd1 Pd 0.402 0.402 0.810
Pd2 Pd 0.598 0.598 0.190

---

# 5
# Dy5Pu3As8 | the Alexandria database | PBE-GGA | optimized geometry
# Total energy in eV/atom: -7.787
# DOS at the Fermi energy in states/eV/f.u.: 34.33
data_Dy5Pu3As8
_chemical_formula_sum 'Dy5 Pu3 As8'
_cell_length_a 8.235
_cell_length_b 8.235
_cell_length_c 8.235
_cell_angle_alpha 60.16
_cell_angle_beta 60.16
_cell_angle_gamma 60.16
_space_group_name_H-M_alt 'P 1'
_space_group_IT_number 1
loop_
_space_group_symop_operation_xyz
'x,y,z'
loop_
_atom_site_label
_atom_site_type_symbol
_atom_site_fract_x
_atom_site_fract_y
_atom_site_fract_z
Dy1 Dy 0.000 0.000 0.000
Dy2 Dy 0.000 0.500 0.500
Dy3 Dy 0.500 0.000 0.500
Dy4 Dy 0.500 0.500 0.000
Dy5 Dy 0.500 0.500 0.500
Pu1 Pu 0.000 0.000 0.500
Pu2 Pu 0.000 0.500 0.000
Pu3 Pu 0.500 0.000 0.000
As1 As 0.249 0.249 0.249
As2 As 0.249 0.750 0.750
As3 As 0.250 0.250 0.751
As4 As 0.250 0.751 0.250
As5 As 0.750 0.249 0.750
As6 As 0.750 0.750 0.249
As7 As 0.751 0.250 0.250
As8 As 0.751 0.751 0.751

---

# 6
# Y2ScHg2 | the Alexandria database | PBE-GGA | optimized geometry
# Total energy in eV/atom: -4.351
# DOS at the Fermi energy in states/eV/f.u.: 4.21
data_Y2ScHg2
_chemical_formula_sum 'Y4 Sc2 Hg4'
_cell_length_a 8.244
_cell_length_b 8.244
_cell_length_c 3.878
_cell_angle_alpha 90.00
_cell_angle_beta 90.00
_cell_angle_gamma 90.00
_space_group_name_H-M_alt 'P 1'
_space_group_IT_number 1
loop_
_space_group_symop_operation_xyz
'x,y,z'
loop_
_atom_site_label
_atom_site_type_symbol
_atom_site_fract_x
_atom_site_fract_y
_atom_site_fract_z
Y1 Y 0.168 0.332 0.000
Y2 Y 0.332 0.832 0.000
Y3 Y 0.668 0.168 0.000
Y4 Y 0.832 0.668 0.000
Sc1 Sc 0.000 0.000 0.500
Sc2 Sc 0.500 0.500 0.500
Hg1 Hg 0.133 0.633 0.500
Hg2 Hg 0.367 0.133 0.500
Hg3 Hg 0.633 0.867 0.500
Hg4 Hg 0.867 0.367 0.500

---

# 7
# SnBRh3 | the Alexandria database | PBE-GGA | optimized geometry
# Total energy in eV/atom: -6.940
# DOS at the Fermi energy in states/eV/f.u.: 3.01
data_SnBRh3
_chemical_formula_sum 'Sn2 B2 Rh6'
_cell_length_a 6.265
_cell_length_b 6.265
_cell_length_c 6.265
_cell_angle_alpha 53.14
_cell_angle_beta 53.14
_cell_angle_gamma 53.14
_space_group_name_H-M_alt 'P 1'
_space_group_IT_number 1
loop_
_space_group_symop_operation_xyz
'x,y,z'
loop_
_atom_site_label
_atom_site_type_symbol
_atom_site_fract_x
_atom_site_fract_y
_atom_site_fract_z
Sn1 Sn 0.106 0.106 0.106
Sn2 Sn 0.894 0.894 0.894
B1 B 0.330 0.330 0.330
B2 B 0.670 0.670 0.670
Rh1 Rh 0.095 0.585 0.585
Rh2 Rh 0.415 0.415 0.905
Rh3 Rh 0.415 0.905 0.415
Rh4 Rh 0.585 0.095 0.585
Rh5 Rh 0.585 0.585 0.095
Rh6 Rh 0.905 0.415 0.415

---

# 8
# Na2MnAlS4 | the Alexandria database | PBE-GGA | optimized geometry
# Formation energy without anion corrections in eV per atom: -0.97
# Total energy in eV/atom: -4.977
data_Na2MnAlS4
_chemical_formula_sum 'Na2 Mn1 Al1 S4'
_cell_length_a 6.169
_cell_length_b 6.169
_cell_length_c 6.169
_cell_angle_alpha 115.24
_cell_angle_beta 115.24
_cell_angle_gamma 98.47
_space_group_name_H-M_alt 'P 1'
_space_group_IT_number 1
loop_
_space_group_symop_operation_xyz
'x,y,z'
loop_
_atom_site_label
_atom_site_type_symbol
_atom_site_fract_x
_atom_site_fract_y
_atom_site_fract_z
Na1 Na 0.000 0.000 0.000
Na2 Na 0.750 0.250 0.500
Mn1 Mn 0.250 0.750 0.500
Al1 Al 0.500 0.500 0.000
S1 S 0.177 0.593 0.055
S2 S 0.407 0.462 0.584
S3 S 0.538 0.122 0.945
S4 S 0.878 0.823 0.416